# 1
Material: NaH2Ir
Method: DFT, PBE
State: optimized geometry

POSCAR file:
```
NaH2Ir
1.0
-1.006 -2.378 -1.662
1.825 -2.425 -0.471
-1.643 -3.910 3.753
Na Ir H
1 1 2
direct
0.000 0.000 0.000
0.500 0.500 0.500
0.131 0.131 0.607
0.869 0.869 0.393
```

Results
Total magnetization, μB per formula unit: 0.00
DFT total energy, eV/atom: -4.10


# 2
Material: Na2H7Ir
Method: DFT, PBE
State: optimized geometry

POSCAR file:
```
Na2H7Ir
1.0
-1.512 -3.571 2.988
4.718 -6.127 -0.924
2.551 0.440 5.827
Na H Ir
4 14 2
direct
0.654 0.970 0.703
0.673 0.470 0.203
0.327 0.530 0.797
0.346 0.030 0.297
0.858 0.474 0.809
0.858 0.974 0.309
0.220 0.806 0.003
0.334 0.275 0.577
0.667 0.250 0.750
0.972 0.306 0.503
0.186 0.225 0.923
0.814 0.775 0.077
0.028 0.694 0.497
0.333 0.750 0.250
0.666 0.725 0.423
0.780 0.194 0.997
0.142 0.026 0.691
0.142 0.526 0.191
0.997 0.250 0.750
0.003 0.750 0.250
```

Results
Total magnetization, μB per formula unit: 0.00
DFT total energy, eV/atom: -3.76


# 3
Material: NaHIr3
Method: DFT, PBE
State: optimized geometry

POSCAR file:
```
NaHIr3
1.0
3.984 0.000 0.000
0.000 3.984 0.000
0.000 0.000 3.984
Na Ir H
1 3 1
direct
0.500 0.500 0.500
0.000 0.500 0.000
0.000 0.000 0.500
0.500 0.000 0.000
0.000 0.000 0.000
```

Results
Total magnetization, μB per formula unit: 0.00
DFT total energy, eV/atom: -5.81


# 4
Material: NaH4Ir
Method: DFT, PBE
State: optimized geometry

POSCAR file:
```
NaH4Ir
1.0
4.588 -0.093 2.398
-2.882 4.285 0.381
0.062 -0.093 5.177
Na H Ir
2 8 2
direct
0.500 0.750 0.750
0.000 0.500 0.500
0.331 0.315 0.016
0.669 0.653 0.016
0.169 0.234 0.597
0.169 0.935 0.234
0.831 0.234 0.935
0.331 0.016 0.653
0.831 0.597 0.234
0.669 0.016 0.315
0.000 0.000 0.000
0.500 0.250 0.250
```

Results
Total magnetization, μB per formula unit: 0.00
DFT total energy, eV/atom: -3.97


# 5
Material: Na4H6Ir
Method: DFT, PBE
State: optimized geometry

POSCAR file:
```
Na4H6Ir
1.0
-5.514 -0.106 -3.974
-2.642 -4.979 3.799
-2.978 4.638 4.008
Na H Ir
8 12 2
direct
0.303 0.197 0.250
0.197 0.697 0.750
0.697 0.803 0.750
0.803 0.303 0.750
0.303 0.197 0.750
0.197 0.697 0.250
0.803 0.303 0.250
0.697 0.803 0.250
0.248 0.952 0.500
0.748 0.548 0.000
0.548 0.252 0.000
0.048 0.248 0.500
0.000 0.000 0.250
0.500 0.500 0.250
0.452 0.748 0.000
0.000 0.000 0.750
0.252 0.452 0.000
0.500 0.500 0.750
0.952 0.752 0.500
0.752 0.048 0.500
0.500 0.500 0.000
0.000 0.000 0.500
```

Results
Total magnetization, μB per formula unit: 0.00
DFT total energy, eV/atom: -3.38


# 6
Material: NaH7Ir2
Method: DFT, PBE
State: optimized geometry

POSCAR file:
```
NaH7Ir2
1.0
-0.055 1.290 3.244
-5.312 -1.282 0.419
3.751 -3.368 1.403
Na H Ir
1 7 2
direct
0.000 0.000 0.000
0.000 0.320 0.639
0.000 0.680 0.361
0.500 0.340 0.284
0.500 0.660 0.716
0.500 0.056 0.716
0.500 0.944 0.284
0.500 0.500 0.000
0.500 0.306 0.611
0.500 0.694 0.389
```

Results
Total magnetization, μB per formula unit: 0.00
DFT total energy, eV/atom: -4.31


# 7
Material: NaH4Ir
Method: DFT, PBE
State: optimized geometry

POSCAR file:
```
NaH4Ir
1.0
-0.952 2.255 3.696
-4.234 -0.048 -1.061
-0.535 -4.714 2.346
Na H Ir
2 8 2
direct
0.000 0.000 0.000
0.500 0.500 0.000
0.975 0.545 0.186
0.525 0.045 0.814
0.318 0.329 0.390
0.182 0.829 0.610
0.025 0.455 0.814
0.475 0.955 0.186
0.682 0.671 0.610
0.818 0.171 0.390
0.500 0.000 0.500
0.000 0.500 0.500
```

Results
Total magnetization, μB per formula unit: 0.00
DFT total energy, eV/atom: -4.06


# 8
Material: NaH2Ir
Method: DFT, PBE
State: optimized geometry

POSCAR file:
```
NaH2Ir
1.0
-1.764 4.683 -1.518
-4.695 -1.116 2.015
-2.319 3.040 3.065
Na Ir H
2 2 4
direct
0.500 0.500 0.000
0.250 0.750 0.500
0.000 0.000 0.000
0.750 0.250 0.500
0.718 0.125 0.250
0.032 0.625 0.250
0.375 0.282 0.750
0.875 0.968 0.750
```

Results
Total magnetization, μB per formula unit: 0.00
DFT total energy, eV/atom: -4.14


# 9
Material: Na2NdH8Ir
Method: DFT, PBE
State: optimized geometry

POSCAR file:
```
Na2NdH8Ir
1.0
4.818 0.000 0.000
-2.409 4.172 0.000
0.000 0.000 6.266
Na Nd H Ir
2 1 8 1
direct
0.667 0.333 0.137
0.333 0.667 0.863
0.000 0.000 0.500
0.840 0.680 0.836
0.320 0.160 0.836
0.840 0.160 0.836
0.160 0.320 0.164
0.680 0.840 0.164
0.160 0.840 0.164
0.667 0.333 0.490
0.333 0.667 0.510
0.000 0.000 0.000
```

Results
Total magnetization, μB per formula unit: 0.00
DFT total energy, eV/atom: -3.96


# 10
Material: NaH2IrOs
Method: DFT, PBE
State: optimized geometry

POSCAR file:
```
NaH2IrOs
1.0
-3.281 -0.282 -1.313
1.729 -3.149 -3.645
-0.607 -2.780 2.114
Na Ir Os H
1 1 1 2
direct
0.000 0.500 0.000
0.500 0.500 0.500
0.000 0.000 0.000
0.000 0.000 0.500
0.500 0.000 0.000
```

Results
Total magnetization, μB per formula unit: 2.17
DFT total energy, eV/atom: -4.03


# 11
Material: NaH6IrPb
Method: DFT, PBE
State: optimized geometry

POSCAR file:
```
NaH6IrPb
1.0
5.251 -0.150 -0.048
2.740 4.255 -1.375
0.000 -1.604 4.989
Na H Ir Pb
1 6 1 1
direct
0.583 0.833 0.694
0.106 0.334 0.217
0.107 0.333 0.672
0.561 0.333 0.672
0.106 0.788 0.672
0.560 0.334 0.217
0.561 0.878 0.217
0.333 0.333 0.444
0.083 0.834 0.194
```

Results
Total magnetization, μB per formula unit: 0.00
DFT total energy, eV/atom: -3.95


# 12
Material: NaPrH6Ir
Method: DFT, PBE
State: optimized geometry

POSCAR file:
```
NaPrH6Ir
1.0
4.919 0.000 0.000
2.460 4.260 0.000
-0.001 0.000 4.435
Na Pr H Ir
1 1 6 1
direct
0.667 0.667 0.325
0.000 0.000 0.846
0.167 0.167 0.326
0.497 0.006 0.770
0.497 0.497 0.770
0.006 0.497 0.770
0.167 0.667 0.326
0.666 0.167 0.326
0.333 0.333 0.542
```

Results
Total magnetization, μB per formula unit: 0.00
DFT total energy, eV/atom: -4.31


# 13
Material: Na2H6IrPt
Method: DFT, PBE
State: optimized geometry

POSCAR file:
```
Na2H6IrPt
1.0
5.099 -0.004 0.010
-0.004 5.099 0.010
2.555 2.555 3.567
Na H Ir Pt
2 6 1 1
direct
0.750 0.250 0.500
0.250 0.750 0.500
0.247 0.247 0.504
0.755 0.755 0.998
0.246 0.755 0.000
0.754 0.245 0.000
0.245 0.245 0.002
0.753 0.753 0.496
0.000 0.000 0.000
0.500 0.500 0.000
```

Results
Total magnetization, μB per formula unit: 0.00
DFT total energy, eV/atom: -4.02


# 14
Material: NaH8IrPt2
Method: DFT, PBE
State: optimized geometry

POSCAR file:
```
NaH8IrPt2
1.0
-2.418 0.672 -3.622
2.349 -2.313 -2.861
-2.950 -4.815 0.160
Na H Ir Pt
1 8 1 2
direct
0.000 0.000 0.500
0.145 0.713 0.222
0.691 0.803 0.983
0.869 0.292 0.189
0.855 0.287 0.778
0.309 0.197 0.017
0.131 0.708 0.811
0.606 0.681 0.515
0.394 0.319 0.485
0.000 0.000 0.000
0.458 0.437 0.767
0.542 0.563 0.233
```

Results
Total magnetization, μB per formula unit: 0.00
DFT total energy, eV/atom: -4.09


# 15
Material: NaSbH2Ir
Method: DFT, PBE
State: optimized geometry

POSCAR file:
```
NaSbH2Ir
1.0
-0.345 -3.456 -1.615
2.747 2.016 -4.899
3.383 -1.026 1.475
Sb Ir H Na
1 1 2 1
direct
0.000 0.000 0.000
0.500 0.500 0.500
0.000 0.000 0.500
0.500 0.000 0.000
0.000 0.500 0.000
```

Results
Total magnetization, μB per formula unit: 0.00
DFT total energy, eV/atom: -2.99


# 16
Material: NaSr3H6Ir2
Method: DFT, PBE
State: optimized geometry

POSCAR file:
```
NaSr3H6Ir2
1.0
5.484 0.000 0.000
-2.742 4.750 0.000
0.000 0.000 6.770
Na Sr H Ir
1 3 6 2
direct
0.000 0.000 0.500
0.333 0.667 0.697
0.667 0.333 0.303
0.000 0.000 0.000
0.633 0.817 0.293
0.183 0.367 0.293
0.183 0.817 0.293
0.817 0.633 0.707
0.367 0.183 0.707
0.817 0.183 0.707
0.667 0.333 0.843
0.333 0.667 0.157
```

Results
Total magnetization, μB per formula unit: 0.00
DFT total energy, eV/atom: -4.02


# 17
Material: NaSr2H6Ir
Method: DFT, PBE
State: optimized geometry

POSCAR file:
```
NaSr2H6Ir
1.0
-4.929 3.598 -4.019
-3.198 0.045 3.962
3.310 3.815 -0.644
Na Sr H Ir
1 2 6 1
direct
0.500 0.000 0.000
0.188 0.333 0.667
0.812 0.667 0.333
0.866 0.157 0.313
0.866 0.157 0.843
0.866 0.687 0.843
0.134 0.843 0.157
0.134 0.313 0.157
0.134 0.843 0.687
0.000 0.000 0.000
```

Results
Total magnetization, μB per formula unit: 0.00
DFT total energy, eV/atom: -3.83


# 18
Material: Na2SrH8Ir
Method: DFT, PBE
State: optimized geometry

POSCAR file:
```
Na2SrH8Ir
1.0
4.947 0.000 0.000
-2.474 4.285 0.000
0.000 0.000 6.569
Na Sr H Ir
2 1 8 1
direct
0.667 0.333 0.132
0.333 0.667 0.868
0.000 0.000 0.500
0.843 0.687 0.845
0.313 0.157 0.845
0.843 0.157 0.845
0.157 0.313 0.155
0.687 0.843 0.155
0.157 0.843 0.155
0.667 0.333 0.491
0.333 0.667 0.509
0.000 0.000 0.000
```

Results
Total magnetization, μB per formula unit: 0.44
DFT total energy, eV/atom: -3.56


# 19
Material: NaThH8Ir2
Method: DFT, PBE
State: optimized geometry

POSCAR file:
```
NaThH8Ir2
1.0
4.870 0.000 0.000
2.435 4.217 0.000
2.435 1.406 5.621
Na Th H Ir
1 1 8 2
direct
0.000 0.000 0.000
0.500 0.500 0.500
0.177 0.177 0.470
0.577 0.365 0.158
0.823 0.823 0.530
0.900 0.577 0.158
0.100 0.423 0.842
0.365 0.900 0.158
0.635 0.100 0.842
0.423 0.635 0.842
0.274 0.274 0.179
0.726 0.726 0.821
```

Results
Total magnetization, μB per formula unit: 0.00
DFT total energy, eV/atom: -4.53


# 20
Material: NaTl2H6Ir
Method: DFT, PBE
State: optimized geometry

POSCAR file:
```
NaTl2H6Ir
1.0
5.750 0.000 0.000
0.000 5.400 0.000
0.000 -2.700 4.676
Na Tl H Ir
1 2 6 1
direct
0.500 0.000 0.000
0.229 0.333 0.667
0.771 0.667 0.333
0.836 0.150 0.300
0.836 0.150 0.850
0.836 0.700 0.850
0.164 0.850 0.150
0.164 0.300 0.150
0.164 0.850 0.700
0.000 0.000 0.000
```

Results
Total magnetization, μB per formula unit: 0.00
DFT total energy, eV/atom: -3.60


# 21
Material: Na2ZnH6Ir
Method: DFT, PBE
State: optimized geometry

POSCAR file:
```
Na2ZnH6Ir
1.0
-2.277 4.013 1.700
-0.766 -2.364 4.555
4.311 2.779 -0.788
Na Zn H Ir
2 1 6 1
direct
0.196 0.333 0.667
0.804 0.667 0.333
0.500 0.000 0.000
0.799 0.157 0.314
0.799 0.157 0.843
0.799 0.686 0.843
0.201 0.843 0.157
0.201 0.314 0.157
0.201 0.843 0.686
0.000 0.000 0.000
```

Results
Total magnetization, μB per formula unit: 0.00
DFT total energy, eV/atom: -3.48


# 22
Material: NbHIr3
Method: DFT, PBE
State: optimized geometry

POSCAR file:
```
NbHIr3
1.0
4.805 0.000 0.000
0.000 4.805 0.000
0.000 0.000 4.805
H Nb Ir
1 1 3
direct
0.500 0.500 0.500
0.000 0.000 0.000
0.000 0.500 0.000
0.000 0.000 0.500
0.500 0.000 0.000
```

Results
Total magnetization, μB per formula unit: 1.38
DFT total energy, eV/atom: -5.79